Entry from Alexandria: an optimized crystal structure of Cu2H6PdRh (PBE).

a b c (Å): 4.3205 4.6903 4.8722
angles (deg): 113.42 116.19 92.46
With the nearest neighbours (Å) after each atom.
Positions (direct):
Cu 0.0000 0.0000 0.0000  5 H 1.79-1.95
Cu 0.4971 0.6578 0.0262  4 H 1.74-1.94
H 0.0746 0.2084 0.4352  1 Rh 1.72, 1 Pd 1.80, 1 Cu 1.81
H 0.2158 0.7617 0.1970  1 Rh 1.71, 2 Cu 1.74-1.79
H 0.3381 0.2566 0.0120  1 Rh 1.80, 2 Cu 1.82-1.94, 1 Pd 1.89
H 0.5651 0.7109 0.7149  2 Cu 1.77-1.81, 1 Rh 1.80, 1 Pd 1.91
H 0.7114 0.2114 0.7436  1 Rh 1.72, 1 Pd 1.86
H 0.9078 0.6665 0.3851  1 Rh 1.77, 1 Pd 1.77, 1 Cu 1.85
Pd 0.7194 0.3822 0.4610  5 H 1.77-1.91
Rh 0.3048 0.9795 0.6116  6 H 1.71-1.80

- V (Å³ per atom) = 7.84
- VASP energy (eV per atom) = -4.04
- space group = P1

---

Entry from Alexandria: an optimized crystal structure of CuHPd2Rh (PBE).

a b c (Å): 3.9818 3.9818 3.8230
angles (deg): 90.00 90.00 90.00
With the nearest neighbours (Å) after each atom.
Positions (direct):
Cu 0.0000 0.0000 0.0000  8 Pd 2.76, 4 Rh 2.82
H 0.5000 0.5000 0.5000  2 Rh 1.91, 4 Pd 1.99
Pd 0.0000 0.5000 0.5000  2 H 1.99
Pd 0.5000 0.0000 0.5000  2 H 1.99
Rh 0.5000 0.5000 0.0000  2 H 1.91

- V (Å³ per atom) = 12.12
- energy relative to the lowest polymorph listed for this composition (eV/atom) = 0.000
- space group = P4/mmm

---

Entry from Alexandria: an optimized crystal structure of CuHPd2Rh (PBE).

a b c (Å): 3.9188 3.9188 3.9186
angles (deg): 90.00 90.00 90.00
With the nearest neighbours (Å) after each atom.
Positions (direct):
Cu 0.0000 0.0000 0.0000  2 H 1.96
H 0.0000 0.0000 0.5000  2 Cu 1.96, 4 Pd 1.96
Pd 0.0000 0.5000 0.5000  2 H 1.96
Pd 0.5000 0.0000 0.5000  2 H 1.96
Rh 0.5000 0.5000 0.0000  8 Pd 2.77, 4 Cu 2.77

- V (Å³ per atom) = 12.04
- energy relative to the lowest polymorph listed for this composition (eV/atom) = 0.074
- space group = P4/mmm

---

Entry from Alexandria: an optimized crystal structure of CuH6Pd3Rh2 (PBE).

a b c (Å): 6.3367 6.3367 5.8793
angles (deg): 104.12 104.12 26.70
With the nearest neighbours (Å) after each atom.
Positions (direct):
Cu 0.0000 0.0000 0.0000  6 H 2.00-2.15
H 0.1670 0.1670 0.1193  2 Rh 1.91, 1 Cu 2.00, 1 Pd 2.05
H 0.1688 0.1688 0.5301  3 Rh 1.89-2.05, 1 Pd 2.04
H 0.4871 0.4871 0.7269  1 Rh 1.78
H 0.5129 0.5129 0.2731  1 Rh 1.78
H 0.8312 0.8312 0.4699  3 Rh 1.89-2.05, 1 Pd 2.04
H 0.8330 0.8330 0.8807  2 Rh 1.91, 1 Cu 2.00, 1 Pd 2.05
Pd 0.0000 0.0000 0.5000  6 H 2.01-2.04
Pd 0.3376 0.3376 0.1624  4 H 2.05-2.20
Pd 0.6624 0.6624 0.8376  4 H 2.05-2.20
Rh 0.3387 0.3387 0.6755  5 H 1.78-1.91
Rh 0.6613 0.6613 0.3245  5 H 1.78-1.91

- V (Å³ per atom) = 8.56
- VASP energy (eV per atom) = -4.57
- space group = C2/m

---

Entry from Alexandria: an optimized crystal structure of Cu2HPdRh (PBE).

a b c (Å): 4.0206 4.0206 3.5281
angles (deg): 90.00 90.00 90.00
With the nearest neighbours (Å) after each atom.
Positions (direct):
Cu 0.0000 0.5000 0.0000  2 H 2.01
Cu 0.5000 0.0000 0.0000  2 H 2.01
H 0.0000 0.0000 0.0000  2 Pd 1.76
Pd 0.0000 0.0000 0.5000  2 H 1.76
Rh 0.5000 0.5000 0.5000  8 Cu 2.67, 4 Pd 2.84

- V (Å³ per atom) = 11.41
- energy relative to the lowest polymorph listed for this composition (eV/atom) = 0.093
- space group = P4/mmm

---

Entry from Alexandria: an optimized crystal structure of CuH4Pd2Rh (PBE).

a b c (Å): 4.8700 2.9426 4.9537
angles (deg): 90.00 106.68 90.00
With the nearest neighbours (Å) after each atom.
Positions (direct):
Cu 0.0000 0.0000 0.0000  2 H 1.94
H 0.2890 0.0000 0.7993  2 Rh 1.90, 1 Cu 1.94, 1 Pd 2.03
H 0.2969 0.5000 0.2649  1 Rh 1.86, 2 Pd 1.96
H 0.7031 0.5000 0.7351  1 Rh 1.86, 2 Pd 1.96
H 0.7110 0.0000 0.2007  2 Rh 1.90, 1 Cu 1.94, 1 Pd 2.03
Pd 0.0000 0.5000 0.5000  6 H 2.10-2.27
Pd 0.5000 0.0000 0.5000  6 H 1.96-2.03
Rh 0.5000 0.5000 0.0000  6 H 1.86-1.90

- V (Å³ per atom) = 8.50
- VASP energy (eV per atom) = -4.44
- space group = P2/m

---

Entry from Alexandria: an optimized crystal structure of CuHPdRh2 (PBE).

a b c (Å): 3.8700 3.8700 3.9604
angles (deg): 90.00 90.00 90.00
With the nearest neighbours (Å) after each atom.
Positions (direct):
Cu 0.0000 0.0000 0.0000  4 Pd 2.74, 8 Rh 2.77
H 0.5000 0.5000 0.5000  4 Rh 1.94, 2 Pd 1.98
Pd 0.5000 0.5000 0.0000  2 H 1.98
Rh 0.0000 0.5000 0.5000  2 H 1.94
Rh 0.5000 0.0000 0.5000  2 H 1.94

- V (Å³ per atom) = 11.86
- energy relative to the lowest polymorph listed for this composition (eV/atom) = 0.014
- space group = P4/mmm

---

Entry from Alexandria: an optimized crystal structure of CuHPd2Ru (PBE).

a b c (Å): 3.9540 3.9540 3.8644
angles (deg): 90.00 90.00 90.00
With the nearest neighbours (Å) after each atom.
Positions (direct):
Cu 0.0000 0.0000 0.0000  8 Pd 2.76, 4 Ru 2.80
H 0.5000 0.5000 0.5000  2 Ru 1.93, 4 Pd 1.98
Pd 0.0000 0.5000 0.5000  2 H 1.98
Pd 0.5000 0.0000 0.5000  2 H 1.98
Ru 0.5000 0.5000 0.0000  2 H 1.93

- V (Å³ per atom) = 12.08
- VASP energy (eV per atom) = -5.24
- space group = P4/mmm

---

Entry from Alexandria: an optimized crystal structure of CuSbHPd2 (PBE).

a b c (Å): 4.1714 4.1714 3.9043
angles (deg): 90.00 90.00 90.00
With the nearest neighbours (Å) after each atom.
Positions (direct):
Cu 0.0000 0.0000 0.0000  2 H 1.95
Sb 0.5000 0.5000 0.0000  8 Pd 2.86, 4 Cu 2.95
H 0.0000 0.0000 0.5000  2 Cu 1.95, 4 Pd 2.09
Pd 0.0000 0.5000 0.5000  2 H 2.09
Pd 0.5000 0.0000 0.5000  2 H 2.09

- V (Å³ per atom) = 13.59
- VASP energy (eV per atom) = -4.53
- space group = P4/mmm

---

Entry from Alexandria: an optimized crystal structure of ScCu2HPd (PBE).

a b c (Å): 3.8771 3.8771 4.1553
angles (deg): 90.00 90.00 90.00
With the nearest neighbours (Å) after each atom.
Positions (direct):
Sc 0.0000 0.0000 0.0000  2 H 2.08
Cu 0.0000 0.5000 0.5000  2 H 1.94
Cu 0.5000 0.0000 0.5000  2 H 1.94
H 0.0000 0.0000 0.5000  4 Cu 1.94, 2 Sc 2.08
Pd 0.5000 0.5000 0.0000  4 Sc 2.74, 8 Cu 2.84

- V (Å³ per atom) = 12.49
- VASP energy (eV per atom) = -4.91
- space group = P4/mmm

---

Entry from Alexandria: an optimized crystal structure of Sc2CuHPd (PBE).

a b c (Å): 4.5864 4.5864 3.4689
angles (deg): 90.00 90.00 90.00
With the nearest neighbours (Å) after each atom.
Positions (direct):
Sc 0.0000 0.5000 0.0000  2 H 2.29
Sc 0.5000 0.0000 0.0000  2 H 2.29
Cu 0.0000 0.0000 0.5000  2 H 1.73
H 0.0000 0.0000 0.0000  2 Cu 1.73
Pd 0.5000 0.5000 0.5000  8 Sc 2.88

- V (Å³ per atom) = 14.59
- energy relative to the lowest polymorph listed for this composition (eV/atom) = 0.000
- space group = P4/mmm

---

Entry from Alexandria: an optimized crystal structure of ScCuHPd2 (PBE).

a b c (Å): 4.0708 4.0708 3.9425
angles (deg): 90.00 90.00 90.00
With the nearest neighbours (Å) after each atom.
Positions (direct):
Sc 0.0000 0.0000 0.0000  8 Pd 2.83, 4 Cu 2.88
Cu 0.5000 0.5000 0.0000  2 H 1.97
H 0.5000 0.5000 0.5000  2 Cu 1.97, 4 Pd 2.04
Pd 0.0000 0.5000 0.5000  2 H 2.04
Pd 0.5000 0.0000 0.5000  2 H 2.04

- V (Å³ per atom) = 13.07
- energy relative to the lowest polymorph listed for this composition (eV/atom) = 0.048
- space group = P4/mmm